A plane-wave DFT calculation with GGA-PBE was carried out for CdPBr2 after structural relaxation.

Unit cell a=8.8860 b=8.8860 c=8.8860 alpha=24.69 beta=24.69 gamma=24.69
Last column: nearest neighbours and their distance in Å.
Sites, in units of the cell vectors:
Cd: 0.0000 0.0000 0.0000  3 P 2.74, 3 Br 2.82
P: 0.2698 0.2698 0.2698  3 Cd 2.74, 3 Br 2.82
Br: 0.5344 0.5344 0.5344  3 P 2.82
Br: 0.7351 0.7351 0.7351  3 Cd 2.82

total magnetization: 0.0 μB per cell
ΔE_f (raw): 93 meV/atom
DOS at the Fermi energy: 0.962 states/eV/atom

A plane-wave DFT calculation with GGA-PBE was carried out for NaZn3F8 after structural relaxation.

Unit cell a=6.6358 b=6.6358 c=6.4392 alpha=90.24 beta=90.24 gamma=35.16
Last column: nearest neighbours and their distance in Å.
Sites, in units of the cell vectors:
Na: 0.0000 0.0000 0.0000  7 F 2.38-2.52
Zn: 0.1472 0.1472 0.4996  6 F 1.90-2.07
Zn: 0.2905 0.2905 0.9996  6 F 2.01-2.18
Zn: 0.4474 0.4474 0.5006  6 F 1.90-2.06
F: 0.1605 0.1605 0.1951  2 Zn 1.97-2.08
F: 0.1603 0.1603 0.8046  2 Zn 1.97-2.07
F: 0.2974 0.2974 0.5020  2 Zn 1.90
F: 0.4305 0.4305 0.1930  2 Zn 1.99-2.16
F: 0.4322 0.4322 0.8079  2 Zn 1.99-2.18
F: 0.6089 0.6089 0.4999  3 Zn 2.04-2.06
F: 0.8065 0.8065 0.9989  2 Zn 2.01
F: 0.9836 0.9836 0.4996  3 Zn 2.06-2.07

total magnetization: 0.0 μB per cell
ΔE_f (raw): -2187 meV/atom
DOS at the Fermi energy: 0.580 states/eV/atom

A plane-wave DFT calculation with GGA-PBE was carried out for Ca2GdH after structural relaxation.

Unit cell a=10.0191 b=10.0191 c=10.0191 alpha=20.65 beta=20.65 gamma=20.65
Last column: nearest neighbours and their distance in Å.
Sites, in units of the cell vectors:
Ca: 0.1160 0.1160 0.1160  3 H 2.55
Ca: 0.8840 0.8840 0.8840  3 H 2.55
Gd: 0.0000 0.0000 0.0000  2 Ca 3.41, 6 Gd 3.59
H: 0.5000 0.5000 0.5000  6 Ca 2.55

total magnetization: 7.9 μB per cell
DOS at the Fermi energy: 1.461 states/eV/atom
total DFT energy (no corrections): -5.30 eV/atom

A plane-wave DFT calculation with GGA-PBE was carried out for Na3NiSb3S8 after structural relaxation.

Unit cell a=7.6906 b=7.6906 c=8.1736 alpha=118.13 beta=118.13 gamma=59.91
Last column: nearest neighbours and their distance in Å.
Sites, in units of the cell vectors:
Na: 0.0000 0.0000 0.0000  6 S 2.88-2.92
Na: 0.0000 0.5000 0.0000  6 S 2.87-2.92
Na: 0.5000 0.0000 0.0000  6 S 2.87-2.92
Ni: 0.0000 0.0000 0.5000  6 S 2.36
Sb: 0.0000 0.5000 0.5000  6 S 2.74-2.76
Sb: 0.5000 0.0000 0.5000  6 S 2.74-2.76
Sb: 0.5000 0.5000 0.5000  6 S 2.74-2.76
S: 0.2111 0.2111 0.7024  1 Ni 2.36
S: 0.2113 0.7800 0.7024  1 Ni 2.36
S: 0.2200 0.7887 0.2976  1 Ni 2.36
S: 0.2556 0.2556 0.2665  3 Sb 2.74, 3 Na 2.87-2.88
S: 0.7444 0.7444 0.7335  3 Sb 2.74, 3 Na 2.87-2.88
S: 0.7800 0.2113 0.7024  1 Ni 2.36
S: 0.7887 0.2200 0.2976  1 Ni 2.36
S: 0.7889 0.7889 0.2976  1 Ni 2.36

total magnetization: 0.1 μB per cell
ΔE_f (raw): -478 meV/atom
DOS at the Fermi energy: 0.647 states/eV/atom

A plane-wave DFT calculation with GGA-PBE was carried out for CeNdPu after structural relaxation.

Unit cell a=7.6552 b=7.6552 c=7.6552 alpha=153.83 beta=153.83 gamma=37.34
Last column: nearest neighbours and their distance in Å.
Sites, in units of the cell vectors:
Ce: 0.0000 0.0000 0.0000  4 Pu 3.18, 4 Ce 3.47
Nd: 0.3194 0.3194 0.0000  4 Nd 3.47, 4 Pu 3.58, 4 Ce 3.59
Pu: 0.6398 0.6398 0.0000  4 Ce 3.18, 4 Pu 3.47

total magnetization: 5.5 μB per cell
formation energy: 0.4 eV/f.u.
DOS at the Fermi energy: 2.839 states/eV/atom

A plane-wave DFT calculation with GGA-PBE was carried out for NaPm4Pt3O12 after structural relaxation.

Unit cell a=7.3402 b=7.3402 c=7.3402 alpha=109.47 beta=109.47 gamma=109.47
Last column: nearest neighbours and their distance in Å.
Sites, in units of the cell vectors:
Na: 0.0000 0.0000 0.0000  12 O 3.07
Pm: 0.0000 0.0000 0.5000  6 O 2.36
Pm: 0.0000 0.5000 0.0000  6 O 2.36
Pm: 0.5000 0.0000 0.0000  6 O 2.36
Pm: 0.5000 0.5000 0.5000  6 O 2.36
Pt: 0.0000 0.5000 0.5000  4 O 1.97
Pt: 0.5000 0.0000 0.5000  4 O 1.97
Pt: 0.5000 0.5000 0.0000  4 O 1.97
O: 0.1562 0.4835 0.3272  1 Pt 1.97
O: 0.1562 0.8290 0.6728  1 Pt 1.97
O: 0.1710 0.3272 0.8438  1 Pt 1.97
O: 0.3272 0.1562 0.4835  1 Pt 1.97
O: 0.3272 0.8438 0.1710  1 Pt 1.97
O: 0.4835 0.3272 0.1562  1 Pt 1.97
O: 0.5165 0.6728 0.8438  1 Pt 1.97
O: 0.6728 0.1562 0.8290  1 Pt 1.97
O: 0.6728 0.8438 0.5165  1 Pt 1.97
O: 0.8290 0.6728 0.1562  1 Pt 1.97
O: 0.8438 0.1710 0.3272  1 Pt 1.97
O: 0.8438 0.5165 0.6728  1 Pt 1.97

total magnetization: 5.0 μB per cell
ΔE_f (raw): -1905 meV/atom
DOS at the Fermi energy: 0.709 states/eV/atom